Density functional theory data (GGA-PBE) for a relaxed ScMoAs2 crystal.

Lattice parameters (Å, degrees): 4.9746 4.9746 4.5441 89.57 89.57 38.80
Last column: nearest neighbours and their distance in Å.
Atoms (fractional coordinates):
Mo 0.4976 0.4976 0.6092  7 As 2.63-2.91
As 0.9741 0.9741 0.1352  3 Sc 2.58-2.68, 2 Mo 2.72, 1 As 2.88
As 0.7794 0.7794 0.6298  3 Mo 2.63-2.65, 4 Sc 2.81-2.84, 2 As 2.88-2.95
Sc 0.2489 0.2489 0.1259  7 As 2.58-2.84

## Properties
The energy relative to the lowest polymorph listed for this composition is 154.0 meV/atom. The calculation puts the density of states at the Fermi level at 4.4 states/eV per cell. Its space group is Cm (8). For the energy relative to the elements, the calculation gives -458 meV per atom.